1.
The following is a DFT calculation (PBE) of crystalline TbPm4Hg at its relaxed geometry.

a = 8.3642 Å, b = 8.3642 Å, c = 6.4842 Å
α = 100.09°, β = 100.09°, γ = 115.39°
Last column: nearest neighbours and their distance in Å.
Sites, in units of the cell vectors:
Tb (0.0919, 0.9081, 0.7500)  8 Pm 3.47-3.65
Tb (0.9081, 0.0919, 0.2500)  8 Pm 3.47-3.65
Pm (0.1009, 0.3327, 0.8755)  2 Hg 3.32, 4 Pm 3.39-3.70, 2 Tb 3.47-3.59
Pm (0.2119, 0.5894, 0.4521)  2 Hg 3.23-3.24, 3 Pm 3.39-3.43, 1 Tb 3.61
Pm (0.3327, 0.1009, 0.3755)  2 Hg 3.32, 4 Pm 3.39-3.70, 2 Tb 3.47-3.59
Pm (0.4106, 0.7881, 0.0479)  2 Hg 3.23-3.24, 3 Pm 3.39-3.43, 1 Tb 3.61
Pm (0.5894, 0.2119, 0.9521)  2 Hg 3.23-3.24, 3 Pm 3.39-3.43, 1 Tb 3.61
Pm (0.6673, 0.8991, 0.6245)  2 Hg 3.32, 4 Pm 3.39-3.70, 2 Tb 3.47-3.59
Pm (0.7881, 0.4106, 0.5479)  2 Hg 3.23-3.24, 3 Pm 3.39-3.43, 1 Tb 3.61
Pm (0.8991, 0.6673, 0.1245)  2 Hg 3.32, 4 Pm 3.39-3.70, 2 Tb 3.47-3.59
Hg (0.4986, 0.5014, 0.7500)  8 Pm 3.23-3.32, 2 Hg 3.24
Hg (0.5014, 0.4986, 0.2500)  8 Pm 3.23-3.32, 2 Hg 3.24

Properties
excess energy over the best structure of this formula in the dataset = 94.1 meV per atom
calculated total energy = -4.04 eV/atom
energy of formation = -0.053 eV per atom
magnetization = 0.0 Bohr magnetons per cell



2.
The following is a DFT calculation (PBE) of crystalline AgAsSe2N at its relaxed geometry.

a = 5.1867 Å, b = 5.1867 Å, c = 3.9542 Å
α = 90.00°, β = 90.00°, γ = 90.00°
Last column: nearest neighbours and their distance in Å.
Sites, in units of the cell vectors:
Ag (0.0000, 0.0000, 0.0000)  2 N 1.98
As (0.5000, 0.5000, 0.5000)  8 Se 3.26
Se (0.0000, 0.5000, 0.0000)  2 Ag 2.59
Se (0.5000, 0.0000, 0.0000)  2 Ag 2.59
N (0.0000, 0.0000, 0.5000)  2 Ag 1.98

Properties
excess energy over the best structure of this formula in the dataset = 417.7 meV per atom
calculated total energy = -3.32 eV/atom
magnetization = 1.9 Bohr magnetons per cell



3.
The following is a DFT calculation (PBE) of crystalline NaLiGa at its relaxed geometry.

a = 3.1827 Å, b = 3.1827 Å, c = 12.4694 Å
α = 90.00°, β = 90.00°, γ = 90.00°
Last column: nearest neighbours and their distance in Å.
Sites, in units of the cell vectors:
Na (0.0000, 0.0000, 0.0000)  4 Ga 3.15, 4 Na 3.18, 4 Li 3.38
Na (0.5000, 0.5000, 0.5000)  4 Ga 3.15, 4 Na 3.18, 4 Li 3.38
Li (0.0000, 0.0000, 0.7018)  4 Ga 2.71
Li (0.5000, 0.5000, 0.2018)  4 Ga 2.71
Ga (0.0000, 0.0000, 0.3227)  4 Li 2.71
Ga (0.5000, 0.5000, 0.8227)  4 Li 2.71

Properties
excess energy over the best structure of this formula in the dataset = 69.6 meV per atom
calculated total energy = -2.15 eV/atom
energy of formation = -0.061 eV per atom
magnetization = 0.0 Bohr magnetons per cell



4.
The following is a DFT calculation (PBE) of crystalline Pr2NdErS4 at its relaxed geometry.

a = 6.9999 Å, b = 3.9825 Å, c = 7.0620 Å
α = 90.00°, β = 108.76°, γ = 90.00°
Last column: nearest neighbours and their distance in Å.
Sites, in units of the cell vectors:
Pr (0.0000, 0.0000, 0.0000)  6 S 2.95
Pr (0.5000, 0.5000, 0.0000)  6 S 2.87
Nd (0.0000, 0.5000, 0.5000)  6 S 2.84-2.85
Er (0.5000, 0.0000, 0.5000)  6 S 2.76
S (0.2560, 0.0000, 0.7395)  1 Er 2.76, 2 Nd 2.84, 3 Pr 2.87-2.95
S (0.2652, 0.5000, 0.2673)  2 Er 2.76, 1 Nd 2.85, 3 Pr 2.87-2.95
S (0.7348, 0.5000, 0.7327)  2 Er 2.76, 1 Nd 2.85, 3 Pr 2.87-2.95
S (0.7440, 0.0000, 0.2605)  1 Er 2.76, 2 Nd 2.84, 3 Pr 2.87-2.95

Properties
calculated total energy = -6.43 eV/atom
magnetization = 0.0 Bohr magnetons per cell



5.
The following is a DFT calculation (PBE) of crystalline RbTlPb2Br6 at its relaxed geometry.

a = 8.3856 Å, b = 8.3856 Å, c = 8.3856 Å
α = 58.69°, β = 58.69°, γ = 58.69°
Last column: nearest neighbours and their distance in Å.
Sites, in units of the cell vectors:
Rb (0.0000, 0.0000, 0.0000)  6 Br 3.45-3.62
Tl (0.4900, 0.4900, 0.4900)  6 Br 3.40-3.41
Pb (0.2790, 0.2790, 0.2790)  6 Br 3.03-3.07
Pb (0.7822, 0.7822, 0.7822)  6 Br 3.05
Br (0.0566, 0.6225, 0.4388)  2 Pb 3.05-3.07, 1 Tl 3.40
Br (0.1343, 0.5507, 0.9278)  2 Pb 3.03-3.05
Br (0.4388, 0.0566, 0.6225)  2 Pb 3.05-3.07, 1 Tl 3.40
Br (0.5507, 0.9278, 0.1343)  2 Pb 3.03-3.05
Br (0.6225, 0.4388, 0.0566)  2 Pb 3.05-3.07, 1 Tl 3.40
Br (0.9278, 0.1343, 0.5507)  2 Pb 3.03-3.05

Properties
calculated total energy = -3.16 eV/atom
magnetization = 0.0 Bohr magnetons per cell



6.
The following is a DFT calculation (PBE) of crystalline PuBe2Ag2O6 at its relaxed geometry.

a = 5.4009 Å, b = 5.4009 Å, c = 5.7704 Å
α = 90.00°, β = 90.00°, γ = 120.00°
Last column: nearest neighbours and their distance in Å.
Sites, in units of the cell vectors:
Pu (0.0000, 0.0000, 0.0000)  6 O 2.10
Be (0.3333, 0.6667, 0.8030)  3 O 1.55
Be (0.6667, 0.3333, 0.1970)  3 O 1.55
Ag (0.3333, 0.6667, 0.3285)  3 O 2.31
Ag (0.6667, 0.3333, 0.6715)  3 O 2.31
O (0.0833, 0.7306, 0.7930)  1 Be 1.55
O (0.2694, 0.3527, 0.7930)  1 Be 1.55
O (0.3527, 0.0833, 0.2070)  1 Be 1.55
O (0.6473, 0.9167, 0.7930)  1 Be 1.55
O (0.7306, 0.6473, 0.2070)  1 Be 1.55
O (0.9167, 0.2694, 0.2070)  1 Be 1.55

Properties
calculated total energy = -6.94 eV/atom
magnetization = 2.0 Bohr magnetons per cell



7.
The following is a DFT calculation (PBE) of crystalline Cd4AgTe at its relaxed geometry.

a = 5.8940 Å, b = 5.8940 Å, c = 5.8940 Å
α = 60.00°, β = 60.00°, γ = 60.00°
Last column: nearest neighbours and their distance in Å.
Sites, in units of the cell vectors:
Cd (0.1248, 0.1248, 0.1248)  6 Cd 2.94-2.95
Cd (0.1248, 0.1248, 0.6256)  6 Cd 2.94-2.95
Cd (0.1248, 0.6256, 0.1248)  6 Cd 2.94-2.95
Cd (0.6256, 0.1248, 0.1248)  6 Cd 2.94-2.95
Ag (0.7500, 0.7500, 0.7500)  12 Cd 3.46, 4 Te 3.61
Te (0.5000, 0.5000, 0.5000)  12 Cd 3.46, 4 Ag 3.61

Properties
calculated total energy = -1.42 eV/atom
magnetization = 0.0 Bohr magnetons per cell



8.
The following is a DFT calculation (PBE) of crystalline Pu4GeRh3 at its relaxed geometry.

a = 3.3623 Å, b = 5.0402 Å, c = 8.8430 Å
α = 90.00°, β = 90.00°, γ = 90.00°
Last column: nearest neighbours and their distance in Å.
Sites, in units of the cell vectors:
Pu (0.0000, 0.0000, 0.0000)  2 Pu 2.34, 1 Rh 2.47
Pu (0.0000, 0.5000, 0.4901)  2 Pu 2.37, 1 Rh 2.45
Pu (0.5000, 0.0000, 0.1833)  2 Pu 2.34
Pu (0.5000, 0.5000, 0.6797)  2 Pu 2.37, 1 Rh 2.44
Ge (0.5000, 0.0000, 0.5081)  2 Rh 2.52
Rh (0.0000, 0.0000, 0.7205)  1 Pu 2.47, 2 Ge 2.52
Rh (0.0000, 0.5000, 0.2128)  1 Pu 2.45
Rh (0.5000, 0.5000, 0.9559)  1 Pu 2.44

Properties
excess energy over the best structure of this formula in the dataset = 297.5 meV per atom
calculated total energy = -10.55 eV/atom
energy of formation = -0.053 eV per atom
magnetization = 1.3 Bohr magnetons per cell



Number 6 is which compound?
PuBe2Ag2O6